Entry 1:
Compound: Tl2RuAu
Source: Alexandria
Functional: PBE
Structure: relaxed

## Properties
ΔH_f (0 K)   0.439 eV per atom
ΔE to the lowest computed polymorph   102 meV per atom
Total magnetization   0.0 Bohr magnetons per cell
SG   P4/mmm (123)

Unit cell a=3.5620 b=3.5615 c=6.3332 alpha=90.00 beta=90.00 gamma=90.00
Closest atoms and distances in Å follow each position.
Sites, in units of the cell vectors:
Au (0.5000, 0.5000, 0.2500)  8 Tl 3.01, 2 Ru 3.17
Ru (0.5000, 0.5000, 0.7500)  8 Tl 2.94, 2 Au 3.17
Tl (0.0000, 0.0000, 0.9886)  4 Ru 2.94, 4 Au 3.01, 1 Tl 3.02
Tl (0.0000, 0.0000, 0.5114)  4 Ru 2.94, 4 Au 3.01, 1 Tl 3.02

=====

Entry 2:
Compound: Y3Sn2
Source: Alexandria
Functional: PBE
Structure: relaxed

## Properties
ΔH_f (0 K)   -0.644 eV per atom
Total magnetization   3.1 Bohr magnetons per cell
SG   Pnma (62)

Unit cell a=4.4035 b=11.4960 c=11.9961 alpha=90.00 beta=90.00 gamma=90.00
Closest atoms and distances in Å follow each position.
Sites, in units of the cell vectors:
Y (0.2500, 0.6306, 0.5517)  5 Sn 3.11-3.23
Y (0.2500, 0.8694, 0.0517)  5 Sn 3.11-3.23
Y (0.7500, 0.3694, 0.4483)  5 Sn 3.11-3.23
Y (0.7500, 0.1306, 0.9483)  5 Sn 3.11-3.23
Y (0.7500, 0.0599, 0.6264)  5 Sn 3.10-3.21
Y (0.7500, 0.4401, 0.1264)  5 Sn 3.10-3.21
Y (0.2500, 0.9401, 0.3736)  5 Sn 3.10-3.21
Y (0.2500, 0.5599, 0.8736)  5 Sn 3.10-3.21
Y (0.2500, 0.2936, 0.7251)  4 Sn 3.10-3.23
Y (0.2500, 0.2064, 0.2251)  4 Sn 3.10-3.23
Y (0.7500, 0.7064, 0.2749)  4 Sn 3.10-3.23
Y (0.7500, 0.7936, 0.7749)  4 Sn 3.10-3.23
Sn (0.2500, 0.1835, 0.4891)  7 Y 3.10-3.18
Sn (0.2500, 0.3165, 0.9891)  7 Y 3.10-3.18
Sn (0.7500, 0.8165, 0.5109)  7 Y 3.10-3.18
Sn (0.7500, 0.6835, 0.0109)  7 Y 3.10-3.18
Sn (0.7500, 0.4957, 0.6892)  7 Y 3.16-3.23
Sn (0.7500, 0.0043, 0.1892)  7 Y 3.16-3.23
Sn (0.2500, 0.5043, 0.3108)  7 Y 3.16-3.23
Sn (0.2500, 0.9957, 0.8108)  7 Y 3.16-3.23

=====

Entry 3:
Compound: Gd3In5H12
Source: Alexandria
Functional: PBE
Structure: relaxed

## Properties
Energy   -4.774 eV/atom
Total magnetization   82.2 Bohr magnetons per cell
SG   Ia-3d (230)

Unit cell a=11.2155 b=11.2155 c=11.2155 alpha=109.47 beta=109.47 gamma=109.47
Closest atoms and distances in Å follow each position.
Sites, in units of the cell vectors:
Gd (0.7500, 0.3750, 0.1250)  8 H 2.23-2.26
Gd (0.8750, 0.7500, 0.1250)  8 H 2.23-2.26
Gd (0.3750, 0.7500, 0.6250)  8 H 2.23-2.26
Gd (0.2500, 0.1250, 0.3750)  8 H 2.23-2.26
Gd (0.8750, 0.1250, 0.2500)  8 H 2.23-2.26
Gd (0.3750, 0.6250, 0.2500)  8 H 2.23-2.26
Gd (0.6250, 0.3750, 0.7500)  8 H 2.23-2.26
Gd (0.1250, 0.8750, 0.7500)  8 H 2.23-2.26
Gd (0.7500, 0.8750, 0.6250)  8 H 2.23-2.26
Gd (0.6250, 0.2500, 0.3750)  8 H 2.23-2.26
Gd (0.1250, 0.2500, 0.8750)  8 H 2.23-2.26
Gd (0.2500, 0.6250, 0.8750)  8 H 2.23-2.26
In (0.1250, 0.3750, 0.2500)  4 H 2.24
In (0.0000, 0.5000, 0.0000)  6 H 2.33
In (0.0000, 0.0000, 0.0000)  6 H 2.33
In (0.3750, 0.2500, 0.1250)  4 H 2.24
In (0.5000, 0.0000, 0.5000)  6 H 2.33
In (0.5000, 0.5000, 0.0000)  6 H 2.33
In (0.1250, 0.7500, 0.3750)  4 H 2.24
In (0.7500, 0.1250, 0.8750)  4 H 2.24
In (0.7500, 0.6250, 0.3750)  4 H 2.24
In (0.3750, 0.1250, 0.7500)  4 H 2.24
In (0.6250, 0.8750, 0.2500)  4 H 2.24
In (0.5000, 0.5000, 0.5000)  6 H 2.33
In (0.5000, 0.0000, 0.0000)  6 H 2.33
In (0.0000, 0.0000, 0.5000)  6 H 2.33
In (0.2500, 0.3750, 0.6250)  4 H 2.24
In (0.2500, 0.8750, 0.1250)  4 H 2.24
In (0.0000, 0.5000, 0.5000)  6 H 2.33
In (0.8750, 0.2500, 0.6250)  4 H 2.24
In (0.6250, 0.7500, 0.8750)  4 H 2.24
In (0.8750, 0.6250, 0.7500)  4 H 2.24
H (0.7420, 0.1594, 0.0802)  1 H 2.01, 1 Gd 2.23, 1 In 2.24
H (0.3381, 0.5802, 0.4208)  1 H 2.01, 1 Gd 2.23, 1 In 2.24
H (0.9198, 0.3406, 0.2580)  1 H 2.01, 1 Gd 2.23, 1 In 2.24
H (0.5802, 0.2420, 0.1594)  1 H 2.01, 1 Gd 2.23, 1 In 2.24
H (0.5826, 0.7420, 0.6619)  1 H 2.01, 1 Gd 2.23, 1 In 2.24
H (0.9198, 0.5792, 0.1619)  1 H 2.01, 1 Gd 2.23, 1 In 2.24
H (0.3381, 0.7580, 0.4174)  1 H 2.01, 1 Gd 2.23, 1 In 2.24
H (0.0792, 0.9174, 0.1594)  1 H 2.01, 1 Gd 2.23, 1 In 2.24
H (0.5792, 0.9198, 0.6619)  1 H 2.01, 1 Gd 2.23, 1 In 2.24
H (0.7420, 0.5826, 0.1619)  1 H 2.01, 1 Gd 2.23, 1 In 2.24
H (0.7580, 0.4198, 0.3406)  1 H 2.01, 1 Gd 2.23, 1 In 2.24
H (0.8381, 0.9208, 0.0802)  1 H 2.01, 1 Gd 2.23, 1 In 2.24
H (0.1594, 0.7420, 0.5802)  1 H 2.01, 1 Gd 2.23, 1 In 2.24
H (0.3406, 0.4208, 0.0826)  1 H 2.01, 1 Gd 2.23, 1 In 2.24
H (0.0826, 0.9208, 0.3406)  1 H 2.01, 1 Gd 2.23, 1 In 2.24
H (0.4174, 0.1594, 0.5792)  1 H 2.01, 1 Gd 2.23, 1 In 2.24
H (0.0826, 0.1619, 0.2420)  1 H 2.01, 1 Gd 2.23, 1 In 2.24
H (0.4198, 0.6619, 0.0792)  1 H 2.01, 1 Gd 2.23, 1 In 2.24
H (0.8381, 0.9174, 0.2580)  1 H 2.01, 1 Gd 2.23, 1 In 2.24
H (0.1594, 0.4174, 0.0792)  1 H 2.01, 1 Gd 2.23, 1 In 2.24
H (0.3406, 0.9198, 0.7580)  1 H 2.01, 1 Gd 2.23, 1 In 2.24
H (0.5792, 0.6594, 0.4174)  1 H 2.01, 1 Gd 2.23, 1 In 2.24
H (0.9208, 0.8381, 0.5802)  1 H 2.01, 1 Gd 2.23, 1 In 2.24
H (0.7580, 0.3381, 0.9174)  1 H 2.01, 1 Gd 2.23, 1 In 2.24
H (0.4208, 0.3406, 0.5826)  1 H 2.01, 1 Gd 2.23, 1 In 2.24
H (0.0792, 0.1619, 0.4198)  1 H 2.01, 1 Gd 2.23, 1 In 2.24
H (0.2420, 0.6619, 0.0826)  1 H 2.01, 1 Gd 2.23, 1 In 2.24
H (0.1619, 0.0826, 0.7420)  1 H 2.01, 1 Gd 2.23, 1 In 2.24
H (0.6594, 0.0802, 0.2420)  1 H 2.01, 1 Gd 2.23, 1 In 2.24
H (0.8406, 0.5826, 0.9208)  1 H 2.01, 1 Gd 2.23, 1 In 2.24
H (0.5802, 0.3381, 0.9208)  1 H 2.01, 1 Gd 2.23, 1 In 2.24
H (0.5826, 0.8406, 0.4208)  1 H 2.01, 1 Gd 2.23, 1 In 2.24
H (0.9174, 0.8381, 0.7580)  1 H 2.01, 1 Gd 2.23, 1 In 2.24
H (0.9174, 0.0792, 0.6594)  1 H 2.01, 1 Gd 2.23, 1 In 2.24
H (0.8406, 0.2580, 0.4198)  1 H 2.01, 1 Gd 2.23, 1 In 2.24
H (0.1619, 0.0792, 0.9198)  1 H 2.01, 1 Gd 2.23, 1 In 2.24
H (0.6594, 0.5792, 0.9174)  1 H 2.01, 1 Gd 2.23, 1 In 2.24
H (0.4208, 0.0802, 0.3381)  1 H 2.01, 1 Gd 2.23, 1 In 2.24
H (0.2580, 0.4174, 0.8381)  1 H 2.01, 1 Gd 2.23, 1 In 2.24
H (0.2420, 0.5802, 0.6594)  1 H 2.01, 1 Gd 2.23, 1 In 2.24
H (0.9208, 0.0826, 0.8406)  1 H 2.01, 1 Gd 2.23, 1 In 2.24
H (0.6619, 0.2420, 0.5826)  1 H 2.01, 1 Gd 2.23, 1 In 2.24
H (0.4198, 0.7580, 0.8406)  1 H 2.01, 1 Gd 2.23, 1 In 2.24
H (0.0802, 0.4208, 0.8381)  1 H 2.01, 1 Gd 2.23, 1 In 2.24
H (0.4174, 0.2580, 0.3381)  1 H 2.01, 1 Gd 2.23, 1 In 2.24
H (0.0802, 0.6594, 0.7420)  1 H 2.01, 1 Gd 2.23, 1 In 2.24
H (0.6619, 0.4198, 0.5792)  1 H 2.01, 1 Gd 2.23, 1 In 2.24
H (0.2580, 0.8406, 0.9198)  1 H 2.01, 1 Gd 2.23, 1 In 2.24

=====

Entry 4:
Compound: CrIn2Mo
Source: Alexandria
Functional: PBE
Structure: relaxed

## Properties
ΔH_f (0 K)   0.839 eV per atom
ΔE to the lowest computed polymorph   605 meV per atom
Total magnetization   5.1 Bohr magnetons per cell
SG   I-42d (122)

Unit cell a=7.5359 b=7.5359 c=6.0372 alpha=51.38 beta=51.38 gamma=90.00
Closest atoms and distances in Å follow each position.
Sites, in units of the cell vectors:
Cr (0.5000, 0.5000, 0.0000)  4 In 2.71, 2 Mo 2.84
Cr (0.2500, 0.7500, 0.5000)  4 In 2.71, 2 Mo 2.84
Mo (0.0000, 0.0000, 0.0000)  4 In 2.80, 2 Cr 2.84
Mo (0.7500, 0.2500, 0.5000)  4 In 2.80, 2 Cr 2.84
In (0.6167, 0.1250, 0.2500)  2 Cr 2.71, 2 Mo 2.80, 2 In 2.84
In (0.1333, 0.6250, 0.2500)  2 Cr 2.71, 2 Mo 2.80, 2 In 2.84
In (0.3750, 0.3833, 0.7500)  2 Cr 2.71, 2 Mo 2.80, 2 In 2.84
In (0.8750, 0.8667, 0.7500)  2 Cr 2.71, 2 Mo 2.80, 2 In 2.84

=====

no.,N(E_F) (states/eV/cell)
1,2.01
2,8.60
3,35.36
4,7.45